This record from Alexandria describes a relaxed structure of Rb3Te5. The functional is PBE.

```
Rb3Te5
1.0
6.924 0.000 2.302
3.462 9.351 1.151
0.068 0.000 11.360
Rb Te
6 10
Direct
0.231 0.883 0.177
0.544 0.912 0.500
0.658 0.383 0.323
0.886 0.883 0.823
0.294 0.412 0.000
0.959 0.383 0.677
0.702 0.596 0.000
0.293 0.041 0.843
0.464 0.713 0.808
0.952 0.096 0.500
0.822 0.713 0.192
0.073 0.541 0.343
0.666 0.041 0.157
0.522 0.213 0.692
0.264 0.213 0.308
0.386 0.541 0.657
```

## Properties
The calculation puts the total magnetization at 0.000 μB per atom. The calculation puts the energy at -0.2169 Ry per atom. Its space group is Fdd2.